[1]
LiThZrRu after structural relaxation, computed with GGA-PBE.

- Size of the total moment: 0.00 μB/f.u.

a = 6.908 Å, b = 6.908 Å, c = 6.908 Å
α = 90.00°, β = 90.00°, γ = 90.00°
Fractional coordinates of all 16 atoms:
1 Li 0.000 0.000 0.000
2 Li 0.000 0.500 0.500
3 Li 0.500 0.000 0.500
4 Li 0.500 0.500 0.000
5 Th 0.250 0.250 0.750
6 Th 0.250 0.750 0.250
7 Th 0.750 0.250 0.250
8 Th 0.750 0.750 0.750
9 Zr 0.250 0.250 0.250
10 Zr 0.250 0.750 0.750
11 Zr 0.750 0.250 0.750
12 Zr 0.750 0.750 0.250
13 Ru 0.000 0.000 0.500
14 Ru 0.000 0.500 0.000
15 Ru 0.500 0.000 0.000
16 Ru 0.500 0.500 0.500

=====

[2]
LiTi2Ru2 after structural relaxation, computed with GGA-PBE.

- Size of the total moment: 0.00 μB/f.u.
- E above lowest polymorph: 0.4403 eV per atom

a = 4.023 Å, b = 4.023 Å, c = 11.653 Å
α = 90.00°, β = 90.00°, γ = 90.00°
Fractional coordinates of all 10 atoms:
1 Li 0.000 0.000 0.000
2 Li 0.500 0.500 0.500
3 Ti 0.000 0.000 0.371
4 Ti 0.000 0.000 0.629
5 Ti 0.500 0.500 0.129
6 Ti 0.500 0.500 0.871
7 Ru 0.000 0.500 0.250
8 Ru 0.000 0.500 0.750
9 Ru 0.500 0.000 0.250
10 Ru 0.500 0.000 0.750

=====

[3]
Li3TiRu after structural relaxation, computed with GGA-PBE.

- Size of the total moment: 0.00 μB/f.u.
- E above lowest polymorph: 0.0000 eV per atom

a = 4.402 Å, b = 4.402 Å, c = 4.402 Å
α = 90.00°, β = 90.00°, γ = 90.00°
Fractional coordinates of all 5 atoms:
1 Li 0.000 0.000 0.500
2 Li 0.000 0.500 0.000
3 Li 0.500 0.000 0.000
4 Ti 0.500 0.500 0.500
5 Ru 0.000 0.000 0.000

=====

Number 1: DFT formation energy -0.55 eV/f.u.. Number 2: DFT formation energy 0.85 eV/f.u.. Number 3: DFT formation energy 4.98 eV/f.u..